8
Lattice="3.870 0.000 0.000 0.000 3.870 0.000 0.000 0.000 7.964" Properties=species:S:1:pos:R:3 comment="ThBePtN (GGA-PBE, relaxed)" total_magnetization_mub_per_cell=0.00 e_form_raw_mev_per_atom=-1235 e_tot_ev_per_atom=-7.61 pbc="T T T"
Th 0.968 0.968 1.336
Th 2.903 2.903 6.627
Be 0.968 0.968 5.290
Be 2.903 2.903 2.673
Pt 0.968 2.903 3.982
Pt 2.903 0.968 3.982
N 0.968 0.968 6.946
N 2.903 2.903 1.017

---

4
Lattice="3.428 -1.793 0.000 3.428 1.793 0.000 -1.066 0.000 6.113" Properties=species:S:1:pos:R:3 comment="P2IrAu (GGA-PBE, relaxed)" relative_energy_mev_per_atom=88 total_magnetization_mub_per_cell=0.00 e_form_ev_per_atom=-0.1369 e_tot_ev_per_atom=-5.88 pbc="T T T"
P 0.000 0.000 0.000
P 3.263 0.000 4.079
Ir 1.086 0.000 5.200
Au 2.995 0.000 1.763

---

Repeat the first record exactly.
8
Lattice="3.870 0.000 0.000 0.000 3.870 0.000 0.000 0.000 7.964" Properties=species:S:1:pos:R:3 comment="ThBePtN (GGA-PBE, relaxed)" total_magnetization_mub_per_cell=0.00 e_form_raw_mev_per_atom=-1235 e_tot_ev_per_atom=-7.61 pbc="T T T"
Th 0.968 0.968 1.336
Th 2.903 2.903 6.627
Be 0.968 0.968 5.290
Be 2.903 2.903 2.673
Pt 0.968 2.903 3.982
Pt 2.903 0.968 3.982
N 0.968 0.968 6.946
N 2.903 2.903 1.017